Here is a relaxed LaNd5Sn2 crystal from the Alexandria database. Energies are from PBE.

The space group is Immm (No. 71) and the conventional cell measures 4.6730, 10.1131 and 11.5079 Å, with angles of 90.00, 90.00 and 90.00 degrees. The inequivalent atoms are La at (0.0000, 0.0000, 0.0000), Nd at (0.0000, 0.1885, 0.3446), Nd at (0.0000, 0.5000, 0.0000) and Sn at (0.0000, 0.5000, 0.2892).

As for the density: 6.7 g cm⁻³. Its calculated formation energy is -334 meV/atom.